Record 1
DFT (PBE-GGA) results for a relaxed Li6NiRh2 crystal.

Values from the calculation:
Uncorrected energy = -0.2661 Ry per atom
Fermi-level density of states = 0.68 states/eV per atom
Formation energy from the elements = -69 meV per atom

abc: 2.675 7.054 7.694
angles: 62.71 86.67 82.73
Fractional coordinates of all 9 atoms:
Li (0.143, 0.852, 0.648)
Li (0.857, 0.148, 0.352)
Li (0.385, 0.294, 0.000)
Li (0.143, 0.499, 0.352)
Li (0.857, 0.501, 0.648)
Li (0.615, 0.706, 0.000)
Ni (0.000, 0.000, 0.000)
Rh (0.500, 0.843, 0.313)
Rh (0.500, 0.157, 0.687)


Record 2
DFT (PBE-GGA) results for a relaxed LiNiRh crystal.

Values from the calculation:
Uncorrected energy = -0.3716 Ry per atom
Fermi-level density of states = 1.17 states/eV per atom
Formation energy from the elements = -41 meV per atom

abc: 4.074 7.023 5.134
angles: 90.00 90.00 90.00
Fractional coordinates of all 12 atoms:
Rh (0.750, 0.250, 0.250)
Rh (0.750, 0.250, 0.750)
Rh (0.250, 0.750, 0.250)
Rh (0.250, 0.750, 0.750)
Li (0.250, 0.080, 0.999)
Li (0.250, 0.420, 0.499)
Li (0.750, 0.580, 0.501)
Li (0.750, 0.920, 0.001)
Ni (0.250, 0.417, 0.999)
Ni (0.250, 0.083, 0.499)
Ni (0.750, 0.917, 0.501)
Ni (0.750, 0.583, 0.001)


Record 3
DFT (PBE-GGA) results for a relaxed Li2NiRh crystal.

Values from the calculation:
Uncorrected energy = -0.3114 Ry per atom
Fermi-level density of states = 1.12 states/eV per atom
Formation energy from the elements = 3 meV per atom

abc: 4.756 4.756 2.509
angles: 90.00 90.00 115.42
Fractional coordinates of all 4 atoms:
Li (0.000, 0.000, 0.000)
Li (0.500, 0.500, 0.000)
Ni (0.500, 0.000, 0.500)
Rh (0.000, 0.500, 0.500)


Record 4
DFT (PBE-GGA) results for a relaxed LiNiRh crystal.

Values from the calculation:
Uncorrected energy = -0.3466 Ry per atom
Fermi-level density of states = 0.87 states/eV per atom
Formation energy from the elements = 300 meV per atom

abc: 3.958 3.958 3.958
angles: 60.00 60.00 60.00
Fractional coordinates of all 3 atoms:
Li (0.500, 0.500, 0.500)
Ni (0.750, 0.750, 0.750)
Rh (0.000, 0.000, 0.000)


Record 5
DFT (PBE-GGA) results for a relaxed Li2NiRh crystal.

Values from the calculation:
Uncorrected energy = -0.3064 Ry per atom
Fermi-level density of states = 1.34 states/eV per atom
Formation energy from the elements = 71 meV per atom

abc: 2.622 2.622 8.978
angles: 90.00 90.00 115.40
Fractional coordinates of all 4 atoms:
Li (0.000, 0.000, 0.979)
Li (0.500, 0.500, 0.276)
Ni (0.000, 0.000, 0.504)
Rh (0.500, 0.500, 0.741)


Record 6
DFT (PBE-GGA) results for a relaxed LiNi4Rh crystal.

Values from the calculation:
Uncorrected energy = -0.3920 Ry per atom
Fermi-level density of states = 1.59 states/eV per atom
Formation energy from the elements = 65 meV per atom

abc: 4.695 4.695 4.695
angles: 60.00 60.00 60.00
Fractional coordinates of all 6 atoms:
Li (0.000, 0.000, 0.000)
Ni (0.875, 0.375, 0.375)
Ni (0.375, 0.375, 0.875)
Ni (0.375, 0.875, 0.375)
Ni (0.375, 0.375, 0.375)
Rh (0.750, 0.750, 0.750)


Record 7
DFT (PBE-GGA) results for a relaxed LiNiRh4 crystal.

Values from the calculation:
Uncorrected energy = -0.4281 Ry per atom
Fermi-level density of states = 1.95 states/eV per atom
Formation energy from the elements = 359 meV per atom

abc: 5.097 5.097 5.097
angles: 60.00 60.00 60.00
Fractional coordinates of all 6 atoms:
Li (0.750, 0.750, 0.750)
Ni (0.000, 0.000, 0.000)
Rh (0.875, 0.375, 0.375)
Rh (0.375, 0.375, 0.875)
Rh (0.375, 0.875, 0.375)
Rh (0.375, 0.375, 0.375)


Record 8
DFT (PBE-GGA) results for a relaxed LiNiRh crystal.

Values from the calculation:
Uncorrected energy = -0.3646 Ry per atom
Fermi-level density of states = 1.25 states/eV per atom
Formation energy from the elements = 54 meV per atom

abc: 4.176 4.910 4.910
angles: 62.10 64.97 64.97
Fractional coordinates of all 6 atoms:
Li (0.000, 0.252, 0.748)
Li (0.000, 0.748, 0.252)
Ni (0.659, 0.841, 0.841)
Ni (0.341, 0.159, 0.159)
Rh (0.677, 0.324, 0.324)
Rh (0.323, 0.676, 0.676)


Q: Which total magnetic moment values were calculated for the entries above? A: 0.33, 3.68, 0.21, 1.66, 1.05, 3.20, 4.02, 1.35, in μB/cell.